A crystal of SrAl2Cu relaxed with PBEsol. Source: the Alexandria database, functional SCAN.

## Properties
symmetry	C2/m (12)
ΔE_f	0.359	eV per atom
raw total energy	-51.543	eV per cell

Geometry as POSCAR:
```
SrAl2Cu
1.0
2.9413 0.0222 0.0000
-1.1229 5.3864 0.0000
-0.9092 -2.7043 5.0945
Sr Al Cu
1 2 1
Direct
0.0000 0.5000 0.0000
0.5000 0.5000 0.5000
0.0000 0.0000 0.5000
0.5000 0.0000 0.0000
```